Material: TlCdAu2
Method: DFT, PBE
State: relaxed

CIF file:
```
data_TlCdAu2
_symmetry_space_group_name_H-M 'P 1'
_symmetry_Int_Tables_number 1
_cell_length_a 3.6850
_cell_length_b 3.6850
_cell_length_c 8.2775
_cell_angle_alpha 77.14
_cell_angle_beta 77.14
_cell_angle_gamma 60.00
loop_
_symmetry_equiv_pos_as_xyz
'x,y,z'
loop_
_atom_site_label
_atom_site_fract_x
_atom_site_fract_y
_atom_site_fract_z
_atom_site_occupancy
Tl1 0.4998 0.4998 0.5006 1
Au1 0.0790 0.0790 0.7629 1
Au2 0.2543 0.2543 0.2370 1
Cd1 0.6668 0.6668 0.9995 1
```

Values from the calculation:
D(E_F) ... 0.9 states/eV/f.u.
Density ... 12.5 g cm⁻³
Formation energy ... 0.01 eV per atom
Space-group type ... No. 160

Material: TlCd8Au2
Method: DFT, PBE
State: relaxed

CIF file:
```
data_TlCd8Au2
_symmetry_space_group_name_H-M 'P 1'
_symmetry_Int_Tables_number 1
_cell_length_a 5.3859
_cell_length_b 7.6549
_cell_length_c 7.6549
_cell_angle_alpha 116.98
_cell_angle_beta 102.45
_cell_angle_gamma 102.45
loop_
_symmetry_equiv_pos_as_xyz
'x,y,z'
loop_
_atom_site_label
_atom_site_fract_x
_atom_site_fract_y
_atom_site_fract_z
_atom_site_occupancy
Cd1 0.5000 0.7654 0.2346 1
Cd2 0.8700 0.9097 0.6759 1
Cd3 0.1300 0.0903 0.3241 1
Cd4 0.3025 0.5867 0.5867 1
Au1 0.0000 0.6944 0.3056 1
Au2 0.0000 0.3056 0.6944 1
Cd5 0.8700 0.6759 0.9097 1
Tl1 0.5000 0.0000 0.0000 1
Cd6 0.1300 0.3241 0.0903 1
Cd7 0.6975 0.4133 0.4133 1
Cd8 0.5000 0.2346 0.7654 1
```

Values from the calculation:
D(E_F) ... 3.0 states/eV/f.u.
Density ... 9.7 g cm⁻³
Formation energy ... -0.03 eV per atom
Space-group type ... No. 12

Material: TlCdAu2
Method: DFT, PBE
State: relaxed

CIF file:
```
data_TlCdAu2
_symmetry_space_group_name_H-M 'P 1'
_symmetry_Int_Tables_number 1
_cell_length_a 3.8652
_cell_length_b 3.8660
_cell_length_c 5.8266
_cell_angle_alpha 90.00
_cell_angle_beta 90.00
_cell_angle_gamma 90.00
loop_
_symmetry_equiv_pos_as_xyz
'x,y,z'
loop_
_atom_site_label
_atom_site_fract_x
_atom_site_fract_y
_atom_site_fract_z
_atom_site_occupancy
Tl1 0.5000 0.5000 0.7771 1
Au1 0.0000 0.0000 0.9835 1
Cd1 0.0000 0.0000 0.4656 1
Au2 0.5000 0.5000 0.2739 1
```

Values from the calculation:
D(E_F) ... 2.1 states/eV/f.u.
Density ... 13.6 g cm⁻³
Formation energy ... 0.00 eV per atom
Space-group type ... No. 99